Entry 1:
# InSiPb2

A geometry-optimized InSiPb2 structure (GGA-PBE, the Alexandria database).

- Size of the total moment: 0.0 μB per cell
- Total DFT energy (no corrections): -14.478 eV/cell
- Formation energy from raw total energies: 275 meV/atom

The structure in POSCAR format:
```
InSiPb2
1.0
1.755 1.013 10.212
-1.755 1.013 10.212
0.000 -2.027 10.212
In Si Pb
1 1 2
direct
0.000 0.000 0.000
0.733 0.733 0.733
0.242 0.242 0.242
0.472 0.472 0.472
```

---

Entry 2:
# TlGa2NiSn

A geometry-optimized TlGa2NiSn structure (GGA-PBE, the Alexandria database).

- Size of the total moment: 0.0 μB per cell
- Total DFT energy (no corrections): -18.371 eV/cell
- Formation enthalpy at 0 K: -0.167 eV/f.u.

The structure in POSCAR format:
```
TlGa2NiSn
1.0
4.668 0.000 0.000
0.000 4.668 0.000
0.000 0.000 5.199
Tl Ga Ni Sn
1 2 1 1
direct
0.000 0.000 0.000
0.000 0.500 0.500
0.500 0.000 0.500
0.500 0.500 0.500
0.500 0.500 0.000
```

---

Entry 3:
# ZrMoAs2

A geometry-optimized ZrMoAs2 structure (GGA-PBE, the Alexandria database).

- Energy above the most stable polymorph in this dataset: 187 meV per atom
- Size of the total moment: 0.0 μB per cell
- Total DFT energy (no corrections): -30.565 eV/cell
- Formation enthalpy at 0 K: -1.886 eV/f.u.

The structure in POSCAR format:
```
ZrMoAs2
1.0
4.736 -1.672 0.000
4.736 1.672 0.000
-0.963 0.000 4.478
Zr Mo As
1 1 2
direct
0.000 0.000 0.000
0.784 0.784 0.408
0.268 0.268 0.888
0.504 0.504 0.504
```

---

Entry 4:
# LiPa2Se4

A geometry-optimized LiPa2Se4 structure (GGA-PBE, the Alexandria database).

- Energy above the most stable polymorph in this dataset: 0 meV per atom
- Size of the total moment: 6.1 μB per cell
- Total DFT energy (no corrections): -88.305 eV/cell
- Formation energy from raw total energies: -1330 meV/atom

The structure in POSCAR format:
```
LiPa2Se4
1.0
-4.222 4.222 4.497
4.222 -4.222 4.497
4.222 4.222 -4.497
Li Pa Se
2 4 8
direct
0.000 0.000 0.000
0.750 0.250 0.500
0.254 0.625 0.129
0.375 0.504 0.629
0.496 0.125 0.871
0.875 0.746 0.371
0.114 0.231 0.734
0.130 0.747 0.766
0.253 0.019 0.384
0.497 0.380 0.266
0.620 0.886 0.116
0.636 0.870 0.616
0.769 0.503 0.884
0.981 0.364 0.234
```

---

Entry 5:
# Y2Cu2Mo

A geometry-optimized Y2Cu2Mo structure (GGA-PBE, the Alexandria database).

- Size of the total moment: 0.0 μB per cell
- Total DFT energy (no corrections): -61.902 eV/cell
- Formation enthalpy at 0 K: 1.001 eV/f.u.

The structure in POSCAR format:
```
Y2Cu2Mo
1.0
7.685 0.000 0.000
0.000 7.685 0.000
0.000 0.000 3.374
Y Cu Mo
4 4 2
direct
0.183 0.317 0.000
0.317 0.817 0.000
0.683 0.183 0.000
0.817 0.683 0.000
0.115 0.615 0.500
0.385 0.115 0.500
0.615 0.885 0.500
0.885 0.385 0.500
0.000 0.000 0.500
0.500 0.500 0.500
```

---

Entry 6:
# YSc3Ag

A geometry-optimized YSc3Ag structure (GGA-PBE, the Alexandria database).

- Energy above the most stable polymorph in this dataset: 295 meV per atom
- Size of the total moment: 0.0 μB per cell
- Total DFT energy (no corrections): -26.879 eV/cell
- Formation enthalpy at 0 K: 1.431 eV/f.u.

The structure in POSCAR format:
```
YSc3Ag
1.0
5.224 0.000 0.000
0.000 5.224 0.000
0.000 0.000 5.224
Y Sc Ag
1 3 1
direct
0.000 0.000 0.000
0.000 0.500 0.500
0.500 0.000 0.500
0.500 0.500 0.000
0.500 0.500 0.500
```

---

Entry 7:
# Ac8Pm3Pr

A geometry-optimized Ac8Pm3Pr structure (GGA-PBE, the Alexandria database).

- Size of the total moment: 0.0 μB per cell
- Total DFT energy (no corrections): -47.633 eV/cell
- Formation enthalpy at 0 K: 4.266 eV/f.u.

The structure in POSCAR format:
```
Ac8Pm3Pr
1.0
-3.696 5.827 6.331
3.696 -5.827 6.331
3.696 5.827 -6.331
Ac Pm Pr
8 3 1
direct
0.087 0.249 0.838
0.266 0.237 0.503
0.266 0.763 0.029
0.411 0.249 0.162
0.589 0.751 0.838
0.734 0.237 0.971
0.734 0.763 0.497
0.913 0.751 0.162
0.284 0.784 0.500
0.500 0.500 0.000
0.716 0.216 0.500
0.000 0.000 0.000
```

---

Entry 8:
# UPS2

A geometry-optimized UPS2 structure (GGA-PBE, the Alexandria database).

- Size of the total moment: 2.7 μB per cell
- Total DFT energy (no corrections): -24.514 eV/cell
- Formation energy from raw total energies: 110 meV/atom

The structure in POSCAR format:
```
UPS2
1.0
1.655 0.955 8.224
-1.655 0.955 8.224
0.000 -1.911 8.224
U P S
1 1 2
direct
0.000 0.000 0.000
0.500 0.500 0.500
0.109 0.109 0.109
0.891 0.891 0.891
```

---

What is the formula in the seventh record?
Ac8Pm3Pr

---

What is the formula in the fifth record?
Y2Cu2Mo